Entry 1:
Density functional theory data (PBE) for AcAlAs after structural relaxation.

For the volume, the calculation gives 25.3 Å³ per atom. For the energy above the most stable polymorph in this dataset, the calculation gives 208 meV per atom. As for the magnetic moment: 0.00 μB/cell. Its formation energy is -475 meV per atom.

It has space group I4mm (No. 107), with a = 3.701 Å, b = 3.701 Å, c = 11.092 Å, α = 90.00°, β = 90.00° and γ = 90.00°. The distinct sites, in fractional coordinates, are Ac at (0.000, 0.000, 0.000), Al at (0.000, 0.000, 0.292) and As at (0.000, 0.000, 0.703).

=====

Entry 2:
Density functional theory data (PBE) for Ac12Al3As5 after structural relaxation.

For the volume, the calculation gives 41.2 Å³ per atom. As for the magnetic moment: 0.00 μB/cell. Its formation energy is -489 meV per atom.

It has space group Ia-3d (No. 230), with a = 18.752 Å, b = 18.752 Å, c = 18.752 Å, α = 90.00°, β = 90.00° and γ = 90.00°. The distinct sites, in fractional coordinates, are Ac at (0.022, 0.067, 0.652), Al at (0.000, 0.250, 0.125), As at (0.000, 0.000, 0.000) and As at (0.000, 0.250, 0.375).

=====

Entry 3:
Density functional theory data (PBE) for AcAlAs after structural relaxation.

For the volume, the calculation gives 26.4 Å³ per atom. For the energy above the most stable polymorph in this dataset, the calculation gives 0 meV per atom. As for the magnetic moment: 0.00 μB/cell. Its formation energy is -683 meV per atom.

It has space group P-6m2 (No. 187), with a = 4.5540 Å, b = 4.5540 Å, c = 4.4172 Å, α = 90.00°, β = 90.00° and γ = 120.00°. The distinct sites, in fractional coordinates, are Ac at (0.0000, 0.0000, 0.0000), Al at (0.6667, 0.3333, 0.5000) and As at (0.3333, 0.6667, 0.5000).

=====

Entry 4:
Density functional theory data (PBE) for AcAlAs2 after structural relaxation.

For the volume, the calculation gives 24.3 Å³ per atom. For the energy above the most stable polymorph in this dataset, the calculation gives 301 meV per atom. As for the magnetic moment: 0.00 μB/cell. Its formation energy is -386 meV per atom.

It has space group Fm-3m (No. 225), with a = 7.298 Å, b = 7.298 Å, c = 7.298 Å, α = 90.00°, β = 90.00° and γ = 90.00°. The distinct sites, in fractional coordinates, are Ac at (0.000, 0.000, 0.000), Al at (0.000, 0.000, 0.500) and As at (0.250, 0.250, 0.250).